The following is a DFT calculation (PBE) of a relaxed structure of BeFeCuPt.

Cell and atoms, written as CIF:
```
data_BeFeCuPt
_chemical_formula_sum 'Be4 Fe4 Cu4 Pt4'
_cell_length_a 5.760
_cell_length_b 5.760
_cell_length_c 5.760
_cell_angle_alpha 90.00
_cell_angle_beta 90.00
_cell_angle_gamma 90.00
_space_group_name_H-M_alt 'F -4 3 m'
_space_group_IT_number 216
_space_group_name_Hall 'F -4 2 3'
loop_
_atom_site_label
_atom_site_type_symbol
_atom_site_fract_x
_atom_site_fract_y
_atom_site_fract_z
Be1 Be 0.000 0.000 0.000
Fe1 Fe 0.250 0.250 0.250
Cu1 Cu 0.000 0.000 0.500
Pt1 Pt 0.250 0.250 0.750
```

## Properties
DOS(E_F) (states/eV/atom): 0.886
Energy of formation (eV per atom): -0.147